[1]
{
  "formula": "Na3CuSnSe4",
  "functional": "PBEsol",
  "state": "optimized geometry",
  "crystal_system": "monoclinic",
  "formation_energy_uncorrected_ev_per_atom": -0.710,
  "magmom_total_mub_per_atom": 0.000,
  "lattice": [[6.850, 0.000, 0.001], [0.000, 10.140, 0.000], [0.112, 0.000, 12.855]],
  "species": ["Na", "Na", "Na", "Na", "Na", "Na", "Na", "Na", "Na", "Na", "Na", "Na", "Cu", "Cu", "Cu", "Cu", "Sn", "Sn", "Sn", "Sn", "Se", "Se", "Se", "Se", "Se", "Se", "Se", "Se", "Se", "Se", "Se", "Se", "Se", "Se", "Se", "Se"],
  "frac_coords": [[0.228, 0.892, 0.518], [0.440, 0.363, 0.376], [0.272, 0.392, 0.982], [0.560, 0.637, 0.624], [0.524, 0.880, 0.872], [0.024, 0.620, 0.372], [0.728, 0.608, 0.018], [0.976, 0.380, 0.628], [0.940, 0.137, 0.876], [0.060, 0.863, 0.124], [0.476, 0.120, 0.128], [0.772, 0.108, 0.482], [0.408, 0.611, 0.213], [0.092, 0.111, 0.287], [0.592, 0.389, 0.787], [0.908, 0.889, 0.713], [0.585, 0.863, 0.306], [0.085, 0.637, 0.806], [0.915, 0.363, 0.194], [0.415, 0.137, 0.694], [0.045, 0.159, 0.099], [0.593, 0.927, 0.640], [0.946, 0.902, 0.341], [0.998, 0.681, 0.616], [0.093, 0.573, 0.140], [0.455, 0.659, 0.401], [0.054, 0.098, 0.659], [0.407, 0.073, 0.360], [0.002, 0.319, 0.384], [0.907, 0.427, 0.860], [0.446, 0.598, 0.841], [0.554, 0.402, 0.159], [0.545, 0.341, 0.599], [0.502, 0.181, 0.884], [0.955, 0.841, 0.901], [0.498, 0.819, 0.116]]
}

=====

[2]
{
  "formula": "NaTiCu3Se4",
  "functional": "PBEsol",
  "state": "optimized geometry",
  "crystal_system": "cubic",
  "formation_energy_uncorrected_ev_per_atom": -0.645,
  "magmom_total_mub_per_atom": 0.000,
  "lattice": [[5.800, 0.000, 0.000], [0.000, 5.800, 0.000], [0.000, 0.000, 5.800]],
  "species": ["Na", "Ti", "Cu", "Cu", "Cu", "Se", "Se", "Se", "Se"],
  "frac_coords": [[0.500, 0.500, 0.500], [0.000, 0.000, 0.000], [0.000, 0.500, 0.000], [0.000, 0.000, 0.500], [0.500, 0.000, 0.000], [0.235, 0.235, 0.235], [0.765, 0.765, 0.235], [0.235, 0.765, 0.765], [0.765, 0.235, 0.765]]
}

=====

[3]
{
  "formula": "Na2CuSi2",
  "functional": "PBEsol",
  "state": "optimized geometry",
  "crystal_system": "tetragonal",
  "formation_energy_uncorrected_ev_per_atom": 0.034,
  "magmom_total_mub_per_atom": 0.000,
  "lattice": [[-3.557, 2.960, -1.602], [-2.141, 0.505, 5.686], [3.602, 4.831, 0.928]],
  "species": ["Na", "Na", "Na", "Na", "Si", "Si", "Si", "Si", "Cu", "Cu"],
  "frac_coords": [[0.500, 0.176, 0.676], [0.500, 0.676, 0.824], [0.500, 0.824, 0.324], [0.500, 0.324, 0.176], [0.000, 0.363, 0.863], [0.000, 0.863, 0.637], [0.000, 0.637, 0.137], [0.000, 0.137, 0.363], [0.000, 0.000, 0.000], [0.000, 0.500, 0.500]]
}

=====

[4]
{
  "formula": "Na3CuSn",
  "functional": "PBEsol",
  "state": "optimized geometry",
  "crystal_system": "cubic",
  "delta_e_f_ev_per_atom": 0.670,
  "magmom_total_mub_per_atom": 0.199,
  "lattice": [[-2.635, 3.829, 3.428], [-2.535, -4.319, 2.876], [4.470, -0.193, 3.651]],
  "species": ["Na", "Na", "Na", "Sn", "Cu"],
  "frac_coords": [[0.000, 0.500, 0.000], [0.000, 0.000, 0.500], [0.500, 0.000, 0.000], [0.000, 0.000, 0.000], [0.500, 0.500, 0.500]]
}

=====

[5]
{
  "formula": "NaSr3Cu",
  "functional": "PBEsol",
  "state": "optimized geometry",
  "crystal_system": "cubic",
  "delta_e_f_ev_per_atom": 0.033,
  "magmom_total_mub_per_atom": 0.000,
  "lattice": [[-2.268, -5.419, 1.029], [3.125, -2.179, -4.588], [4.545, -1.206, 3.668]],
  "species": ["Sr", "Sr", "Sr", "Cu", "Na"],
  "frac_coords": [[0.000, 0.500, 0.000], [0.000, 0.000, 0.500], [0.500, 0.000, 0.000], [0.000, 0.000, 0.000], [0.500, 0.500, 0.500]]
}

=====

[6]
{
  "formula": "NaSr2Cu2",
  "functional": "PBEsol",
  "state": "optimized geometry",
  "crystal_system": "tetragonal",
  "delta_e_f_ev_per_atom": 0.036,
  "magmom_total_mub_per_atom": 0.000,
  "lattice": [[4.178, 0.000, 0.000], [0.000, 8.133, 0.000], [0.000, 0.000, 8.133]],
  "species": ["Sr", "Sr", "Sr", "Sr", "Cu", "Cu", "Cu", "Cu", "Na", "Na"],
  "frac_coords": [[0.500, 0.175, 0.675], [0.500, 0.675, 0.825], [0.500, 0.825, 0.325], [0.500, 0.325, 0.175], [0.000, 0.394, 0.894], [0.000, 0.894, 0.606], [0.000, 0.606, 0.106], [0.000, 0.106, 0.394], [0.000, 0.000, 0.000], [0.000, 0.500, 0.500]]
}

=====

[7]
{
  "formula": "NaCuTc3",
  "functional": "PBEsol",
  "state": "optimized geometry",
  "crystal_system": "cubic",
  "delta_e_f_ev_per_atom": 2.913,
  "magmom_total_mub_per_atom": 0.585,
  "lattice": [[4.362, 0.000, 0.000], [0.000, 4.362, 0.000], [0.000, 0.000, 4.362]],
  "species": ["Na", "Tc", "Tc", "Tc", "Cu"],
  "frac_coords": [[0.000, 0.000, 0.000], [0.000, 0.500, 0.000], [0.000, 0.000, 0.500], [0.500, 0.000, 0.000], [0.500, 0.500, 0.500]]
}

=====

[8]
{
  "formula": "NaZnCuTc2",
  "functional": "PBEsol",
  "state": "optimized geometry",
  "crystal_system": "tetragonal",
  "delta_e_f_ev_per_atom": 1.622,
  "magmom_total_mub_per_atom": 0.848,
  "lattice": [[4.544, 0.000, 0.000], [0.000, 4.544, 0.000], [0.000, 0.000, 4.583]],
  "species": ["Na", "Zn", "Tc", "Tc", "Cu"],
  "frac_coords": [[0.000, 0.000, 0.500], [0.500, 0.500, 0.500], [0.000, 0.500, 0.000], [0.500, 0.000, 0.000], [0.000, 0.000, 0.000]]
}

=====

[9]
{
  "formula": "NaZrCuTc2",
  "functional": "PBEsol",
  "state": "optimized geometry",
  "crystal_system": "tetragonal",
  "delta_e_f_ev_per_atom": 1.783,
  "magmom_total_mub_per_atom": 0.348,
  "lattice": [[-1.136, 3.862, -0.833], [-3.301, -0.301, 3.106], [2.857, 1.527, 3.185]],
  "species": ["Na", "Cu", "Tc", "Tc", "Zr"],
  "frac_coords": [[0.000, 0.000, 0.000], [0.500, 0.000, 0.000], [0.000, 0.000, 0.500], [0.000, 0.500, 0.000], [0.500, 0.500, 0.500]]
}

=====

[10]
{
  "formula": "NaCuTe2",
  "functional": "PBEsol",
  "state": "optimized geometry",
  "crystal_system": "tetragonal",
  "formation_energy_uncorrected_ev_per_atom": -0.306,
  "magmom_total_mub_per_atom": 0.000,
  "lattice": [[6.247, 0.000, 0.000], [3.124, 5.567, 0.000], [3.124, 0.000, 5.567]],
  "species": ["Na", "Na", "Te", "Te", "Te", "Te", "Cu", "Cu"],
  "frac_coords": [[0.250, 0.500, 0.500], [0.500, 0.000, 0.000], [0.061, 0.064, 0.564], [0.689, 0.936, 0.436], [0.375, 0.564, 0.936], [0.875, 0.436, 0.064], [0.750, 0.500, 0.500], [0.000, 0.000, 0.000]]
}

=====

[11]
{
  "formula": "NaCu2Te2",
  "functional": "PBEsol",
  "state": "optimized geometry",
  "crystal_system": "tetragonal",
  "formation_energy_uncorrected_ev_per_atom": -0.305,
  "magmom_total_mub_per_atom": 0.000,
  "lattice": [[3.903, 0.000, 0.000], [0.000, 3.903, 0.000], [-1.951, -1.951, 7.382]],
  "species": ["Na", "Te", "Te", "Cu", "Cu"],
  "frac_coords": [[0.000, 0.000, 0.000], [0.366, 0.366, 0.732], [0.634, 0.634, 0.268], [0.250, 0.750, 0.500], [0.750, 0.250, 0.500]]
}

=====

[12]
{
  "formula": "Na3ZrCu",
  "functional": "PBEsol",
  "state": "optimized geometry",
  "crystal_system": "cubic",
  "delta_e_f_ev_per_atom": 1.057,
  "magmom_total_mub_per_atom": 0.573,
  "lattice": [[5.185, 0.000, 0.000], [0.000, 5.185, 0.000], [0.000, 0.000, 5.185]],
  "species": ["Na", "Na", "Na", "Cu", "Zr"],
  "frac_coords": [[0.000, 0.500, 0.000], [0.000, 0.000, 0.500], [0.500, 0.000, 0.000], [0.000, 0.000, 0.000], [0.500, 0.500, 0.500]]
}

=====

[13]
{
  "formula": "TiNbCu2Ni",
  "functional": "PBEsol",
  "state": "optimized geometry",
  "crystal_system": "tetragonal",
  "delta_e_f_ev_per_atom": 1.509,
  "magmom_total_mub_per_atom": 0.184,
  "lattice": [[4.446, 0.000, 0.000], [0.000, 4.446, 0.000], [0.000, 0.000, 4.446]],
  "species": ["Ni", "Nb", "Cu", "Cu", "Ti"],
  "frac_coords": [[0.500, 0.500, 0.500], [0.500, 0.000, 0.000], [0.000, 0.000, 0.500], [0.000, 0.500, 0.000], [0.000, 0.000, 0.000]]
}

=====

[14]
{
  "formula": "Nb2CuO6",
  "functional": "PBEsol",
  "state": "optimized geometry",
  "crystal_system": "orthorhombic",
  "formation_energy_uncorrected_ev_per_atom": -2.055,
  "magmom_total_mub_per_atom": 0.110,
  "lattice": [[5.146, 0.000, 0.000], [0.000, 5.609, 0.000], [0.000, 0.000, 14.136]],
  "species": ["Nb", "Nb", "Nb", "Nb", "Nb", "Nb", "Nb", "Nb", "Cu", "Cu", "Cu", "Cu", "O", "O", "O", "O", "O", "O", "O", "O", "O", "O", "O", "O", "O", "O", "O", "O", "O", "O", "O", "O", "O", "O", "O", "O"],
  "frac_coords": [[0.789, 0.685, 0.841], [0.211, 0.815, 0.341], [0.211, 0.315, 0.159], [0.789, 0.185, 0.659], [0.711, 0.185, 0.341], [0.289, 0.315, 0.841], [0.289, 0.815, 0.659], [0.711, 0.685, 0.159], [0.250, 0.330, 0.500], [0.750, 0.170, 0.000], [0.750, 0.670, 0.500], [0.250, 0.830, 0.000], [0.463, 0.629, 0.760], [0.537, 0.871, 0.260], [0.537, 0.371, 0.240], [0.463, 0.129, 0.740], [0.349, 0.586, 0.417], [0.651, 0.914, 0.917], [0.651, 0.414, 0.583], [0.349, 0.086, 0.083], [0.389, 0.602, 0.091], [0.611, 0.898, 0.591], [0.611, 0.398, 0.909], [0.389, 0.102, 0.409], [0.111, 0.102, 0.591], [0.889, 0.398, 0.091], [0.889, 0.898, 0.409], [0.111, 0.602, 0.909], [0.151, 0.086, 0.917], [0.849, 0.414, 0.417], [0.849, 0.914, 0.083], [0.151, 0.586, 0.583], [0.037, 0.129, 0.260], [0.963, 0.371, 0.760], [0.963, 0.871, 0.740], [0.037, 0.629, 0.240]]
}

=====

[15]
{
  "formula": "Nb2CuO6",
  "functional": "PBEsol",
  "state": "optimized geometry",
  "crystal_system": "monoclinic",
  "formation_energy_uncorrected_ev_per_atom": -2.059,
  "magmom_total_mub_per_atom": 0.111,
  "lattice": [[5.011, -0.008, 0.000], [-0.237, 5.770, 0.000], [0.000, 0.000, 14.210]],
  "species": ["Nb", "Nb", "Nb", "Nb", "Nb", "Nb", "Nb", "Nb", "Cu", "Cu", "Cu", "Cu", "O", "O", "O", "O", "O", "O", "O", "O", "O", "O", "O", "O", "O", "O", "O", "O", "O", "O", "O", "O", "O", "O", "O", "O"],
  "frac_coords": [[0.743, 0.207, 0.842], [0.257, 0.293, 0.342], [0.257, 0.793, 0.158], [0.743, 0.707, 0.658], [0.234, 0.847, 0.838], [0.766, 0.653, 0.338], [0.766, 0.153, 0.162], [0.234, 0.347, 0.662], [0.252, 0.347, 0.998], [0.748, 0.153, 0.498], [0.748, 0.653, 0.002], [0.252, 0.847, 0.502], [0.073, 0.143, 0.905], [0.927, 0.357, 0.405], [0.927, 0.857, 0.095], [0.073, 0.643, 0.595], [0.573, 0.406, 0.924], [0.427, 0.094, 0.424], [0.427, 0.594, 0.076], [0.573, 0.906, 0.576], [0.407, 0.151, 0.755], [0.593, 0.349, 0.255], [0.593, 0.849, 0.245], [0.407, 0.651, 0.745], [0.905, 0.916, 0.755], [0.095, 0.584, 0.255], [0.095, 0.084, 0.245], [0.905, 0.416, 0.745], [0.559, 0.927, 0.903], [0.441, 0.573, 0.403], [0.441, 0.073, 0.097], [0.559, 0.427, 0.597], [0.054, 0.657, 0.922], [0.946, 0.843, 0.422], [0.946, 0.343, 0.078], [0.054, 0.157, 0.578]]
}

=====

[16]
{
  "formula": "NbCu6O8",
  "functional": "PBEsol",
  "state": "optimized geometry",
  "crystal_system": "cubic",
  "formation_energy_uncorrected_ev_per_atom": -0.931,
  "magmom_total_mub_per_atom": 0.000,
  "lattice": [[-3.596, 0.866, 5.280], [-2.189, -5.099, 3.281], [2.425, -1.377, 5.812]],
  "species": ["Nb", "Cu", "Cu", "Cu", "Cu", "Cu", "Cu", "O", "O", "O", "O", "O", "O", "O", "O"],
  "frac_coords": [[0.000, 0.000, 0.000], [0.500, 0.000, 0.500], [0.000, 0.500, 0.500], [0.000, 0.000, 0.500], [0.000, 0.500, 0.000], [0.500, 0.000, 0.000], [0.500, 0.500, 0.000], [0.409, 0.864, 0.864], [0.864, 0.864, 0.864], [0.864, 0.409, 0.864], [0.136, 0.136, 0.136], [0.864, 0.864, 0.409], [0.136, 0.136, 0.591], [0.591, 0.136, 0.136], [0.136, 0.591, 0.136]]
}

=====

[17]
{
  "formula": "Nb3CuO8",
  "functional": "PBEsol",
  "state": "optimized geometry",
  "crystal_system": "monoclinic",
  "formation_energy_uncorrected_ev_per_atom": -2.232,
  "magmom_total_mub_per_atom": 0.005,
  "lattice": [[5.055, 0.000, 0.000], [0.000, 7.517, 0.025], [0.000, -2.961, 14.590]],
  "species": ["Nb", "Nb", "Nb", "Nb", "Nb", "Nb", "Nb", "Nb", "Nb", "Nb", "Nb", "Nb", "Cu", "Cu", "Cu", "Cu", "O", "O", "O", "O", "O", "O", "O", "O", "O", "O", "O", "O", "O", "O", "O", "O", "O", "O", "O", "O", "O", "O", "O", "O", "O", "O", "O", "O", "O", "O", "O", "O"],
  "frac_coords": [[0.747, 0.648, 0.164], [0.247, 0.852, 0.336], [0.253, 0.352, 0.836], [0.753, 0.148, 0.664], [0.252, 0.820, 0.076], [0.752, 0.680, 0.424], [0.748, 0.180, 0.924], [0.248, 0.320, 0.576], [0.739, 0.157, 0.168], [0.239, 0.343, 0.332], [0.261, 0.843, 0.832], [0.761, 0.657, 0.668], [0.745, 0.166, 0.418], [0.245, 0.334, 0.082], [0.255, 0.834, 0.582], [0.755, 0.666, 0.918], [0.924, 0.929, 0.155], [0.424, 0.571, 0.345], [0.076, 0.071, 0.845], [0.576, 0.429, 0.655], [0.425, 0.060, 0.099], [0.925, 0.440, 0.401], [0.575, 0.940, 0.901], [0.075, 0.560, 0.599], [0.582, 0.693, 0.045], [0.082, 0.807, 0.455], [0.418, 0.307, 0.955], [0.918, 0.193, 0.545], [0.077, 0.589, 0.099], [0.577, 0.911, 0.401], [0.923, 0.411, 0.901], [0.423, 0.089, 0.599], [0.926, 0.697, 0.784], [0.426, 0.803, 0.716], [0.074, 0.303, 0.216], [0.574, 0.197, 0.284], [0.902, 0.918, 0.654], [0.402, 0.582, 0.846], [0.098, 0.082, 0.346], [0.598, 0.418, 0.154], [0.079, 0.302, 0.715], [0.579, 0.198, 0.785], [0.921, 0.698, 0.285], [0.421, 0.802, 0.215], [0.598, 0.690, 0.540], [0.098, 0.810, 0.960], [0.402, 0.310, 0.460], [0.902, 0.190, 0.040]]
}

=====

[18]
{
  "formula": "NbCuO3",
  "functional": "PBEsol",
  "state": "optimized geometry",
  "crystal_system": "monoclinic",
  "formation_energy_uncorrected_ev_per_atom": -1.844,
  "magmom_total_mub_per_atom": 0.000,
  "lattice": [[-4.116, 1.026, -4.842], [-3.801, -5.047, 1.233], [-3.748, 3.867, 4.060]],
  "species": ["Nb", "Nb", "Nb", "Nb", "Cu", "Cu", "Cu", "Cu", "O", "O", "O", "O", "O", "O", "O", "O", "O", "O", "O", "O"],
  "frac_coords": [[0.202, 0.798, 0.000], [0.798, 0.202, 0.000], [0.251, 0.251, 0.232], [0.749, 0.749, 0.768], [0.150, 0.850, 0.500], [0.850, 0.150, 0.500], [0.786, 0.786, 0.294], [0.214, 0.214, 0.706], [0.684, 0.684, 0.513], [0.316, 0.316, 0.487], [0.872, 0.872, 0.055], [0.128, 0.128, 0.945], [0.259, 0.931, 0.264], [0.069, 0.741, 0.736], [0.741, 0.069, 0.736], [0.931, 0.259, 0.264], [0.529, 0.206, 0.110], [0.794, 0.471, 0.890], [0.471, 0.794, 0.890], [0.206, 0.529, 0.110]]
}